Entry 1:
The following is a DFT calculation (meta-GGA SCAN) of a PBEsol-optimized structure of HgPIr.

The structure in POSCAR format:
```
HgPIr
1.0
2.879 0.000 0.000
0.000 2.879 0.000
0.000 0.000 12.547
Hg P Ir
2 2 2
direct
0.000 0.000 0.000
0.500 0.500 0.500
0.000 0.000 0.715
0.500 0.500 0.215
0.000 0.000 0.316
0.500 0.500 0.816
```

Values from the calculation:
The value obtained for the distance to the lowest polymorph of the same formula is 0.000 kcal/mol of atoms. The raw total energy is -49.852 eV per atom.

=====

Entry 2:
The following is a DFT calculation (meta-GGA SCAN) of a PBEsol-optimized structure of HgPIr2.

The structure in POSCAR format:
```
HgPIr2
1.0
5.921 0.000 0.000
0.000 6.899 0.000
0.000 0.000 2.984
Hg P Ir
2 2 4
direct
0.000 0.000 0.000
0.500 0.500 0.000
0.000 0.500 0.000
0.500 0.000 0.000
0.250 0.250 0.500
0.250 0.750 0.500
0.750 0.250 0.500
0.750 0.750 0.500
```

Values from the calculation:
The value obtained for the distance to the lowest polymorph of the same formula is 13.734 kcal/mol of atoms. The raw total energy is -54.470 eV per atom.

=====

Entry 3:
The following is a DFT calculation (meta-GGA SCAN) of a PBEsol-optimized structure of HgPIr2.

The structure in POSCAR format:
```
HgPIr2
1.0
5.639 0.000 0.000
0.000 8.990 0.000
-1.416 0.000 2.461
Hg P Ir
2 2 4
direct
0.000 0.000 0.000
0.500 0.500 0.000
0.000 0.500 0.000
0.500 0.000 0.000
0.250 0.250 0.000
0.250 0.750 0.000
0.750 0.250 0.000
0.750 0.750 0.000
```

Values from the calculation:
The value obtained for the distance to the lowest polymorph of the same formula is 14.295 kcal/mol of atoms. The raw total energy is -54.445 eV per atom.

=====

Calculated values (meV per atom) of formation energy from the elements for the records, taken in order: 36.2, 721.2, 745.5.